[1]
Cs2Cr2SnSe6: relaxed, PBE.

Geometry as POSCAR:
```
Cs2Cr2SnSe6
1.0
-4.936 1.036 4.421
5.830 -2.659 1.983
2.723 8.267 -0.505
Cs Se Cr Sn
2 6 2 1
direct
0.164 0.836 0.000
0.836 0.164 0.000
0.300 0.300 0.333
0.055 0.405 0.666
0.700 0.700 0.667
0.595 0.945 0.334
0.405 0.055 0.666
0.945 0.595 0.334
0.333 0.667 0.500
0.667 0.333 0.500
0.000 0.000 0.500
```

Results
VASP energy = -53.939 eV for the cell shown
Space-group type = C2/m (12)
Total magnetic moment = 6.0 μB/f.u.
Formation energy (no corrections) = -734.1 meV/atom

---

[2]
CsTlCrSe3: relaxed, PBE.

Geometry as POSCAR:
```
CsTlCrSe3
1.0
-5.097 3.510 -2.883
-3.446 -5.478 -3.752
-6.497 -5.009 3.743
Cs Se Tl Cr
2 6 2 2
direct
0.709 0.696 0.500
0.291 0.304 0.500
0.998 0.735 0.118
0.499 0.225 0.993
0.002 0.265 0.882
0.805 0.085 0.639
0.195 0.915 0.361
0.501 0.775 0.007
0.836 0.303 0.194
0.164 0.697 0.806
0.751 0.019 0.923
0.249 0.981 0.077
```

Results
VASP energy = -54.386 eV for the cell shown
Space-group type = P-1 (2)
Total magnetic moment = 2.0 μB/f.u.
Formation energy (no corrections) = -649.4 meV/atom
Density of states at the Fermi level = 2.7 states/eV/cell

---

[3]
Cs2UCr2Se6: relaxed, PBE.

Geometry as POSCAR:
```
Cs2UCr2Se6
1.0
-5.739 0.961 3.343
2.513 -6.177 -0.756
5.416 2.536 6.487
Se U Cr Cs
6 1 2 2
direct
0.054 0.409 0.671
0.591 0.946 0.329
0.305 0.305 0.327
0.695 0.695 0.673
0.409 0.054 0.671
0.946 0.591 0.329
0.000 0.000 0.500
0.333 0.667 0.500
0.667 0.333 0.500
0.164 0.836 0.000
0.836 0.164 0.000
```

Results
VASP energy = -63.585 eV for the cell shown
Space-group type = C2/m (12)
Total magnetic moment = 8.0 μB/f.u.
Formation energy (no corrections) = -948.7 meV/atom
Density of states at the Fermi level = 7.2 states/eV/cell

---

[4]
Cs3U3CrSe8: relaxed, PBE.

Geometry as POSCAR:
```
Cs3U3CrSe8
1.0
8.251 0.000 0.000
-4.125 7.145 -0.031
0.000 -4.729 8.618
Cr Se Cs U
1 8 3 3
direct
0.000 0.000 0.500
0.220 0.440 0.677
0.780 0.560 0.323
0.780 0.043 0.323
0.220 0.957 0.677
0.737 0.957 0.677
0.263 0.043 0.323
0.730 0.460 0.690
0.270 0.540 0.310
0.000 0.500 0.000
0.500 0.500 0.000
0.000 0.000 0.000
0.500 0.500 0.500
0.500 0.000 0.500
0.000 0.500 0.500
```

Results
VASP energy = -90.569 eV for the cell shown
Space-group type = R-3m (166)
Total magnetic moment = 11.0 μB/f.u.
Formation energy (no corrections) = -1109.6 meV/atom
Density of states at the Fermi level = 18.1 states/eV/cell

---

[5]
Cs2UCrSe6: relaxed, PBE.

Geometry as POSCAR:
```
Cs2UCrSe6
1.0
7.418 0.000 0.000
0.000 7.418 0.000
3.709 3.709 5.245
U Cs Se Cr
1 2 6 1
direct
0.000 0.000 0.000
0.250 0.750 0.500
0.750 0.250 0.500
0.257 0.257 0.000
0.743 0.257 0.000
0.257 0.743 0.000
0.743 0.743 0.514
0.257 0.257 0.486
0.743 0.743 0.000
0.500 0.500 0.000
```

Results
VASP energy = -52.091 eV for the cell shown
Space-group type = Fm-3m (225)
Total magnetic moment = 3.0 μB/f.u.
Formation energy (no corrections) = -856.5 meV/atom
Density of states at the Fermi level = 7.1 states/eV/cell

---

[6]
CsU4Cr3Se12: relaxed, PBE.

Geometry as POSCAR:
```
CsU4Cr3Se12
1.0
-6.674 -5.934 0.885
7.369 -4.201 -2.932
1.690 3.808 7.949
U Se Cs Cr
4 12 1 3
direct
0.500 0.000 0.000
0.500 0.500 0.500
0.000 0.500 0.000
0.000 0.000 0.500
0.493 0.322 0.171
0.322 0.829 0.151
0.171 0.849 0.678
0.829 0.151 0.322
0.507 0.678 0.829
0.151 0.322 0.829
0.829 0.507 0.678
0.678 0.171 0.849
0.678 0.829 0.507
0.322 0.171 0.493
0.849 0.678 0.171
0.171 0.493 0.322
0.000 0.000 0.000
0.000 0.500 0.500
0.500 0.000 0.500
0.500 0.500 0.000
```

Results
VASP energy = -132.612 eV for the cell shown
Space-group type = Im-3 (204)
Total magnetic moment = 19.0 μB/f.u.
Formation energy (no corrections) = -796.0 meV/atom
Density of states at the Fermi level = 27.5 states/eV/cell

---

[7]
Cs2U2CrSe6: relaxed, PBE.

Geometry as POSCAR:
```
Cs2U2CrSe6
1.0
-2.114 2.793 -6.120
-4.765 -1.675 4.920
3.024 7.500 3.762
Cs Se U Cr
2 6 2 1
direct
0.833 0.167 0.000
0.167 0.833 0.000
0.256 0.256 0.327
0.937 0.615 0.320
0.744 0.744 0.673
0.615 0.937 0.320
0.385 0.063 0.680
0.063 0.385 0.680
0.332 0.668 0.500
0.668 0.332 0.500
0.000 0.000 0.500
```

Results
VASP energy = -66.605 eV for the cell shown
Space-group type = C2/m (12)
Total magnetic moment = 8.0 μB/f.u.
Formation energy (no corrections) = -1071.9 meV/atom
Density of states at the Fermi level = 17.8 states/eV/cell

---

[8]
CsVCrSe4: relaxed, PBE.

Geometry as POSCAR:
```
CsVCrSe4
1.0
-3.142 2.184 4.843
-0.973 -6.797 2.434
10.378 -1.196 0.807
Cs V Cr Se
2 2 2 8
direct
0.342 0.250 0.062
0.658 0.750 0.938
0.208 0.750 0.350
0.792 0.250 0.650
0.199 0.250 0.546
0.801 0.750 0.454
0.053 0.497 0.669
0.539 0.750 0.577
0.053 0.003 0.669
0.947 0.503 0.331
0.947 0.997 0.331
0.461 0.250 0.423
0.378 0.750 0.194
0.622 0.250 0.806
```

Results
VASP energy = -76.629 eV for the cell shown
Space-group type = P2_1/m (11)
Total magnetic moment = 4.0 μB/f.u.
Formation energy (no corrections) = -683.0 meV/atom
Density of states at the Fermi level = 3.9 states/eV/cell

---

Please write out number 1 again, unchanged.
Cs2Cr2SnSe6: relaxed, PBE.

Geometry as POSCAR:
```
Cs2Cr2SnSe6
1.0
-4.936 1.036 4.421
5.830 -2.659 1.983
2.723 8.267 -0.505
Cs Se Cr Sn
2 6 2 1
direct
0.164 0.836 0.000
0.836 0.164 0.000
0.300 0.300 0.333
0.055 0.405 0.666
0.700 0.700 0.667
0.595 0.945 0.334
0.405 0.055 0.666
0.945 0.595 0.334
0.333 0.667 0.500
0.667 0.333 0.500
0.000 0.000 0.500
```

Results
VASP energy = -53.939 eV for the cell shown
Space-group type = C2/m (12)
Total magnetic moment = 6.0 μB/f.u.
Formation energy (no corrections) = -734.1 meV/atom

---

Q: Among the records above, which one has the lowest VASP energy?
A: CsU4Cr3Se12

---

Q: total magnetic moment of number 2 (CsTlCrSe3)?
A: 2.0 μB/f.u.